# 1
Density functional theory data (PBE) for a relaxed KAg2Te crystal.

Structure (CIF):
```
data_KAg2Te
_space_group_name_H-M_alt 'C m m m'
_space_group_IT_number 65
_space_group_name_Hall '-C 2 2'
_cell_length_a 6.6187
_cell_length_b 10.2593
_cell_length_c 3.0995
_cell_angle_alpha 90.00
_cell_angle_beta 90.00
_cell_angle_gamma 90.00
loop_
_atom_site_label
_atom_site_type_symbol
_atom_site_fract_x
_atom_site_fract_y
_atom_site_fract_z
K1 K 0.0000 0.0000 0.0000
Ag1 Ag 0.2500 0.2500 0.5000
Te1 Te 0.0000 0.5000 0.0000
```

Output
- uncorrected formation energy (eV/atom) = 0.155
- VASP energy (eV/atom) = -2.33

# 2
Density functional theory data (PBE) for a relaxed KAg4Te3 crystal.

Structure (CIF):
```
data_KAg4Te3
_space_group_name_H-M_alt 'P 4/m m m'
_space_group_IT_number 123
_space_group_name_Hall '-P 4 2'
_cell_length_a 4.5163
_cell_length_b 4.5163
_cell_length_c 11.0625
_cell_angle_alpha 90.00
_cell_angle_beta 90.00
_cell_angle_gamma 90.00
loop_
_atom_site_label
_atom_site_type_symbol
_atom_site_fract_x
_atom_site_fract_y
_atom_site_fract_z
K1 K 0.0000 0.0000 0.0000
Ag1 Ag 0.0000 0.5000 0.3289
Te1 Te 0.0000 0.0000 0.5000
Te2 Te 0.5000 0.5000 0.1749
```

Output
- uncorrected formation energy (eV/atom) = -0.281
- VASP energy (eV/atom) = -3.02

# 3
Density functional theory data (PBE) for a relaxed K2AgTe crystal.

Structure (CIF):
```
data_K2AgTe
_space_group_name_H-M_alt 'C m m 2'
_space_group_IT_number 35
_cell_length_a 5.1939
_cell_length_b 7.2413
_cell_length_c 9.6955
_cell_angle_alpha 90.00
_cell_angle_beta 90.00
_cell_angle_gamma 90.00
loop_
_space_group_symop_operation_xyz
'x,y,z'
'-x,-y,z'
'-x,y,z'
'x,-y,z'
'x+1/2,y+1/2,z'
'-x+1/2,-y+1/2,z'
'-x+1/2,y+1/2,z'
'x+1/2,-y+1/2,z'
loop_
_atom_site_label
_atom_site_type_symbol
_atom_site_fract_x
_atom_site_fract_y
_atom_site_fract_z
K1 K 0.0000 0.0000 0.0000
K2 K 0.0000 0.5000 0.4094
Ag1 Ag 0.0000 0.0000 0.6671
Te1 Te 0.0000 0.5000 0.7622
```

Output
- uncorrected formation energy (eV/atom) = -0.236
- VASP energy (eV/atom) = -2.28

# 4
Density functional theory data (PBE) for a relaxed KAg12Te6 crystal.

Structure (CIF):
```
data_KAg12Te6
_space_group_name_H-M_alt 'R -3 m'
_space_group_IT_number 166
_space_group_name_Hall '-R 3 2"'
_cell_length_a 12.0943
_cell_length_b 12.0943
_cell_length_c 12.3450
_cell_angle_alpha 90.00
_cell_angle_beta 90.00
_cell_angle_gamma 120.00
loop_
_atom_site_label
_atom_site_type_symbol
_atom_site_fract_x
_atom_site_fract_y
_atom_site_fract_z
K1 K 0.0000 0.0000 0.0000
Ag1 Ag 0.0000 0.2496 0.5000
Ag2 Ag 0.1017 0.2035 0.2892
Te1 Te 0.0410 0.5205 0.3545
```

Output
- uncorrected formation energy (eV/atom) = -0.086
- VASP energy (eV/atom) = -2.94

# 5
Density functional theory data (PBE) for a relaxed KAg3Te3 crystal.

Structure (CIF):
```
data_KAg3Te3
_space_group_name_H-M_alt 'P m -3 n'
_space_group_IT_number 223
_space_group_name_Hall '-P 4n 2 3'
_cell_length_a 7.8375
_cell_length_b 7.8375
_cell_length_c 7.8375
_cell_angle_alpha 90.00
_cell_angle_beta 90.00
_cell_angle_gamma 90.00
loop_
_atom_site_label
_atom_site_type_symbol
_atom_site_fract_x
_atom_site_fract_y
_atom_site_fract_z
K1 K 0.0000 0.0000 0.0000
Ag1 Ag 0.0000 0.2500 0.5000
Te1 Te 0.0000 0.5000 0.2500
```

Output
- uncorrected formation energy (eV/atom) = -0.242
- VASP energy (eV/atom) = -2.97

# 6
Density functional theory data (PBE) for a relaxed K2AgTe2 crystal.

Structure (CIF):
```
data_K2AgTe2
_space_group_name_H-M_alt 'I 4/m m m'
_space_group_IT_number 139
_space_group_name_Hall '-I 4 2'
_cell_length_a 6.9746
_cell_length_b 6.9746
_cell_length_c 8.5574
_cell_angle_alpha 90.00
_cell_angle_beta 90.00
_cell_angle_gamma 90.00
loop_
_atom_site_label
_atom_site_type_symbol
_atom_site_fract_x
_atom_site_fract_y
_atom_site_fract_z
K1 K 0.0000 0.5000 0.2500
Ag1 Ag 0.0000 0.0000 0.0000
Te1 Te 0.0000 0.0000 0.3126
```

Output
- uncorrected formation energy (eV/atom) = -0.489
- VASP energy (eV/atom) = -2.75

# 7
Density functional theory data (PBE) for a relaxed KAg2Te crystal.

Structure (CIF):
```
data_KAg2Te
_space_group_name_H-M_alt 'P 1 m 1'
_space_group_IT_number 6
_cell_length_a 3.2459
_cell_length_b 4.4618
_cell_length_c 7.7490
_cell_angle_alpha 90.00
_cell_angle_beta 101.77
_cell_angle_gamma 90.00
loop_
_space_group_symop_operation_xyz
'x,y,z'
'x,-y,z'
loop_
_atom_site_label
_atom_site_type_symbol
_atom_site_fract_x
_atom_site_fract_y
_atom_site_fract_z
K1 K 0.0000 0.0000 0.0000
Ag1 Ag 0.3300 0.5000 0.6622
Ag2 Ag 0.7695 0.0000 0.5400
Te1 Te 0.6389 0.5000 0.2852
```

Output
- uncorrected formation energy (eV/atom) = -0.122
- VASP energy (eV/atom) = -2.61

# 8
Density functional theory data (PBE) for a relaxed KAgTe4 crystal.

Structure (CIF):
```
data_KAgTe4
_space_group_name_H-M_alt 'F -4 3 m'
_space_group_IT_number 216
_space_group_name_Hall 'F -4 2 3'
_cell_length_a 9.2201
_cell_length_b 9.2201
_cell_length_c 9.2201
_cell_angle_alpha 90.00
_cell_angle_beta 90.00
_cell_angle_gamma 90.00
loop_
_atom_site_label
_atom_site_type_symbol
_atom_site_fract_x
_atom_site_fract_y
_atom_site_fract_z
K1 K 0.0000 0.0000 0.0000
Ag1 Ag 0.2500 0.2500 0.2500
Te1 Te 0.1242 0.1242 0.6242
```

Output
- uncorrected formation energy (eV/atom) = 0.046
- VASP energy (eV/atom) = -2.71

# 9
Density functional theory data (PBE) for a relaxed K2AgTe2 crystal.

Structure (CIF):
```
data_K2AgTe2
_space_group_name_H-M_alt 'I m m m'
_space_group_IT_number 71
_space_group_name_Hall '-I 2 2'
_cell_length_a 4.3086
_cell_length_b 7.8335
_cell_length_c 10.3960
_cell_angle_alpha 90.00
_cell_angle_beta 90.00
_cell_angle_gamma 90.00
loop_
_atom_site_label
_atom_site_type_symbol
_atom_site_fract_x
_atom_site_fract_y
_atom_site_fract_z
K1 K 0.0000 0.0000 0.2008
Ag1 Ag 0.0000 0.5000 0.0000
Te1 Te 0.0000 0.2405 0.5000
```

Output
- uncorrected formation energy (eV/atom) = -0.675
- VASP energy (eV/atom) = -2.94

# 10
Density functional theory data (PBE) for a relaxed KAgTe3 crystal.

Structure (CIF):
```
data_KAgTe3
_space_group_name_H-M_alt 'R -3 m'
_space_group_IT_number 166
_space_group_name_Hall '-R 3 2"'
_cell_length_a 9.1633
_cell_length_b 9.1633
_cell_length_c 6.9305
_cell_angle_alpha 90.00
_cell_angle_beta 90.00
_cell_angle_gamma 120.00
loop_
_atom_site_label
_atom_site_type_symbol
_atom_site_fract_x
_atom_site_fract_y
_atom_site_fract_z
K1 K 0.0000 0.0000 0.0000
Ag1 Ag 0.0000 0.0000 0.5000
Te1 Te 0.0000 0.5000 0.0000
```

Output
- uncorrected formation energy (eV/atom) = -0.233
- VASP energy (eV/atom) = -2.91

# 11
Density functional theory data (PBE) for a relaxed KAg2Te crystal.

Structure (CIF):
```
data_KAg2Te
_space_group_name_H-M_alt 'F -4 3 m'
_space_group_IT_number 216
_space_group_name_Hall 'F -4 2 3'
_cell_length_a 7.4738
_cell_length_b 7.4738
_cell_length_c 7.4738
_cell_angle_alpha 90.00
_cell_angle_beta 90.00
_cell_angle_gamma 90.00
loop_
_atom_site_label
_atom_site_type_symbol
_atom_site_fract_x
_atom_site_fract_y
_atom_site_fract_z
K1 K 0.0000 0.0000 0.0000
Ag1 Ag 0.0000 0.0000 0.5000
Ag2 Ag 0.2500 0.2500 0.7500
Te1 Te 0.2500 0.2500 0.2500
```

Output
- uncorrected formation energy (eV/atom) = -0.010
- VASP energy (eV/atom) = -2.50

# 12
Density functional theory data (PBE) for a relaxed KAg5Te4 crystal.

Structure (CIF):
```
data_KAg5Te4
_space_group_name_H-M_alt 'P m m n'
_space_group_IT_number 59
_cell_length_a 7.6789
_cell_length_b 10.6479
_cell_length_c 6.6501
_cell_angle_alpha 90.00
_cell_angle_beta 90.00
_cell_angle_gamma 90.00
loop_
_space_group_symop_operation_xyz
'x,y,z'
'-x,-y,-z'
'-x+1/2,-y+1/2,z'
'x+1/2,y+1/2,-z'
'x+1/2,-y,-z'
'-x+1/2,y,z'
'-x,y+1/2,-z'
'x,-y+1/2,z'
loop_
_atom_site_label
_atom_site_type_symbol
_atom_site_fract_x
_atom_site_fract_y
_atom_site_fract_z
K1 K 0.2500 0.2500 0.0049
Ag1 Ag 0.0525 0.5146 0.7099
Ag2 Ag 0.2500 0.7500 0.7584
Te1 Te 0.0505 0.2500 0.5103
Te2 Te 0.2500 0.5623 0.0746
```

Output
- uncorrected formation energy (eV/atom) = -0.147
- VASP energy (eV/atom) = -2.94